[1]
# Rb3Pt4 | Alexandria | PBE | optimized geometry
# Total energy in eV per cell: -20.90
# DFT formation energy in eV per atom: 0.88
data_Rb3Pt4
_space_group_name_H-M_alt 'P 6/m m m'
_space_group_IT_number 191
_space_group_name_Hall '-P 6 2'
_cell_length_a 6.7343
_cell_length_b 6.7343
_cell_length_c 5.0842
_cell_angle_alpha 90.00
_cell_angle_beta 90.00
_cell_angle_gamma 120.00
loop_
_atom_site_label
_atom_site_type_symbol
_atom_site_fract_x
_atom_site_fract_y
_atom_site_fract_z
Rb1 Rb 0.0000 0.5000 0.0000
Pt1 Pt 0.0000 0.0000 0.2483
Pt2 Pt 0.3333 0.6667 0.5000



[2]
# RbPt3 | Alexandria | PBE | optimized geometry
# Total energy in eV per cell: -17.89
# DFT formation energy in eV per atom: 0.30
data_RbPt3
_space_group_name_H-M_alt 'P 4/m m m'
_space_group_IT_number 123
_space_group_name_Hall '-P 4 2'
_cell_length_a 2.9278
_cell_length_b 2.9278
_cell_length_c 9.2661
_cell_angle_alpha 90.00
_cell_angle_beta 90.00
_cell_angle_gamma 90.00
loop_
_atom_site_label
_atom_site_type_symbol
_atom_site_fract_x
_atom_site_fract_y
_atom_site_fract_z
Rb1 Rb 0.0000 0.0000 0.0000
Pt1 Pt 0.0000 0.0000 0.5000
Pt2 Pt 0.5000 0.5000 0.3006



[3]
# RbPt2 | Alexandria | PBE | optimized geometry
# Total energy in eV per cell: -49.34
# DFT formation energy in eV per atom: 0.24
data_RbPt2
_space_group_name_H-M_alt 'P n m a'
_space_group_IT_number 62
_cell_length_a 6.4216
_cell_length_b 4.4916
_cell_length_c 12.4446
_cell_angle_alpha 90.00
_cell_angle_beta 90.00
_cell_angle_gamma 90.00
loop_
_space_group_symop_operation_xyz
'x,y,z'
'-x,-y,-z'
'-x+1/2,-y,z+1/2'
'x+1/2,y,-z+1/2'
'x+1/2,-y+1/2,-z+1/2'
'-x+1/2,y+1/2,z+1/2'
'-x,y+1/2,-z'
'x,-y+1/2,z'
loop_
_atom_site_label
_atom_site_type_symbol
_atom_site_fract_x
_atom_site_fract_y
_atom_site_fract_z
Rb1 Rb 0.1093 0.2500 0.1405
Pt1 Pt 0.0978 0.2500 0.4543
Pt2 Pt 0.1303 0.7500 0.3662



[4]
# RbPt2 | Alexandria | PBE | optimized geometry
# Total energy in eV per cell: -33.41
# DFT formation energy in eV per atom: 0.64
data_RbPt2
_space_group_name_H-M_alt 'P -6 2 m'
_space_group_IT_number 189
_space_group_name_Hall 'P -6 -2'
_cell_length_a 9.9008
_cell_length_b 9.9008
_cell_length_c 2.7838
_cell_angle_alpha 90.00
_cell_angle_beta 90.00
_cell_angle_gamma 120.00
loop_
_atom_site_label
_atom_site_type_symbol
_atom_site_fract_x
_atom_site_fract_y
_atom_site_fract_z
Rb1 Rb 0.0000 0.0000 0.0000
Rb2 Rb 0.3333 0.6667 0.5000
Pt1 Pt 0.0000 0.3605 0.5000
Pt2 Pt 0.0000 0.5889 0.0000



[5]
# RbPt2 | Alexandria | PBE | optimized geometry
# Total energy in eV per cell: -22.91
# DFT formation energy in eV per atom: 0.53
data_RbPt2
_space_group_name_H-M_alt 'P n n m'
_space_group_IT_number 58
_cell_length_a 4.5567
_cell_length_b 7.2714
_cell_length_c 6.6034
_cell_angle_alpha 90.00
_cell_angle_beta 90.00
_cell_angle_gamma 90.00
loop_
_space_group_symop_operation_xyz
'x,y,z'
'-x,-y,-z'
'-x,-y,z'
'x,y,-z'
'x+1/2,-y+1/2,-z+1/2'
'-x+1/2,y+1/2,z+1/2'
'-x+1/2,y+1/2,-z+1/2'
'x+1/2,-y+1/2,z+1/2'
loop_
_atom_site_label
_atom_site_type_symbol
_atom_site_fract_x
_atom_site_fract_y
_atom_site_fract_z
Rb1 Rb 0.0000 0.0000 0.0000
Pt1 Pt 0.2501 0.0556 0.5000



[6]
# RbPt3 | Alexandria | PBE | optimized geometry
# Total energy in eV per cell: -16.87
# DFT formation energy in eV per atom: 0.55
data_RbPt3
_space_group_name_H-M_alt 'P 4/m m m'
_space_group_IT_number 123
_space_group_name_Hall '-P 4 2'
_cell_length_a 5.2531
_cell_length_b 5.2531
_cell_length_c 2.7975
_cell_angle_alpha 90.00
_cell_angle_beta 90.00
_cell_angle_gamma 90.00
loop_
_atom_site_label
_atom_site_type_symbol
_atom_site_fract_x
_atom_site_fract_y
_atom_site_fract_z
Rb1 Rb 0.0000 0.0000 0.0000
Pt1 Pt 0.0000 0.5000 0.5000
Pt2 Pt 0.5000 0.5000 0.0000



[7]
# Rb3Pt4 | Alexandria | PBE | optimized geometry
# Total energy in eV per cell: -53.24
# DFT formation energy in eV per atom: 0.06
data_Rb3Pt4
_space_group_name_H-M_alt 'I 4/m m m'
_space_group_IT_number 139
_space_group_name_Hall '-I 4 2'
_cell_length_a 3.6574
_cell_length_b 3.6574
_cell_length_c 32.7126
_cell_angle_alpha 90.00
_cell_angle_beta 90.00
_cell_angle_gamma 90.00
loop_
_atom_site_label
_atom_site_type_symbol
_atom_site_fract_x
_atom_site_fract_y
_atom_site_fract_z
Rb1 Rb 0.0000 0.0000 0.0000
Rb2 Rb 0.0000 0.0000 0.3217
Pt1 Pt 0.0000 0.0000 0.0991
Pt2 Pt 0.0000 0.0000 0.4153



[8]
# Rb3Pt | Alexandria | PBE | optimized geometry
# Total energy in eV per cell: -8.12
# DFT formation energy in eV per atom: 0.21
data_Rb3Pt
_space_group_name_H-M_alt 'P -6 m 2'
_space_group_IT_number 187
_space_group_name_Hall 'P -6 2'
_cell_length_a 4.9135
_cell_length_b 4.9135
_cell_length_c 11.5775
_cell_angle_alpha 90.00
_cell_angle_beta 90.00
_cell_angle_gamma 120.00
loop_
_atom_site_label
_atom_site_type_symbol
_atom_site_fract_x
_atom_site_fract_y
_atom_site_fract_z
Rb1 Rb 0.0000 0.0000 0.0000
Rb2 Rb 0.6667 0.3333 0.3496
Pt1 Pt 0.0000 0.0000 0.5000



Q: DFT formation energy of number 3 (RbPt2)?
A: 0.24 eV per atom



Q: What is the DFT formation energy in the fourth record?
A: 0.64 eV per atom



Q: Which formula does entry 3 have?
A: RbPt2



Q: The highest DFT formation energy belongs to which entry?
A: number 1